#A
Compound: CdSn2
Source: the Alexandria database
Functional: PBE
Structure: relaxed

a b c (Å): 3.510 4.392 10.275
angles (deg): 90.00 90.00 90.00
Space group Immm (No. 71)
One atom of each set of equivalent atoms:
Cd1 0.000 0.000 0.000 x2
Sn1 0.000 0.000 0.335 x4

#B
Compound: CdSn2
Source: the Alexandria database
Functional: PBE
Structure: relaxed

a b c (Å): 8.844 8.844 8.844
angles (deg): 90.00 90.00 90.00
Space group Fd-3m (No. 227, origin choice 2)
One atom of each set of equivalent atoms:
Cd1 0.125 0.125 0.125 x8
Sn1 0.000 0.000 0.500 x16

Top of the stability list: #A, leading by 16.1 kJ/mol of atoms.

#A
Compound: Sr2CdSn2
Source: the Alexandria database
Functional: PBE
Structure: relaxed

a b c (Å): 6.571 6.571 8.862
angles (deg): 90.00 90.00 90.00
Space group I4/mmm (No. 139)
One atom of each set of equivalent atoms:
Sr1 0.000 0.500 0.250 x4
Cd1 0.000 0.000 0.000 x2
Sn1 0.000 0.000 0.336 x4

#B
Compound: Sr2CdSn2
Source: the Alexandria database
Functional: PBE
Structure: relaxed

a b c (Å): 4.297 4.297 19.113
angles (deg): 90.00 90.00 90.00
Space group I4/mmm (No. 139)
One atom of each set of equivalent atoms:
Sr1 0.000 0.000 0.103 x4
Cd1 0.000 0.000 0.500 x2
Sn1 0.000 0.500 0.250 x4

#C
Compound: Sr2CdSn2
Source: the Alexandria database
Functional: PBE
Structure: relaxed

a b c (Å): 12.009 5.100 11.859
angles (deg): 90.00 118.23 90.00
Space group C2/m (No. 12)
One atom of each set of equivalent atoms:
Sr1 0.012 0.000 0.331 x4
Sr2 0.182 0.000 0.102 x4
Cd1 0.219 0.500 0.348 x4
Sn1 0.025 0.500 0.886 x4
Sn2 0.140 0.500 0.561 x4

Top of the stability list: #C, leading by 29.8 kJ/mol of atoms.